Density functional theory data (PBE with a Hubbard U) for a relaxed structure of KNiN2O.

Cell and atoms, written as POSCAR:
```
KNiN2O
1.0
4.987 0.000 0.000
0.000 4.987 0.000
0.000 0.000 4.675
K Ni N O
1 1 2 1
Direct
0.000 0.000 0.000
0.500 0.500 0.500
0.000 0.500 0.000
0.500 0.000 0.000
0.000 0.000 0.500
```

## Properties
The final energy comes out at -13.0 eV for the cell shown. Its density is 2.03 g/cm³. As for the space-group type: P4/mmm (123).